[1]
The following is a PBE calculation of a relaxed structure of CaTaAs2, from Alexandria via LeMat-Bulk.

Computed properties:
As for the formation enthalpy at 0 K: -11.2 kcal/mol of atoms. The value obtained for the density of states at the Fermi level is 2.3 states/eV/f.u. As for the space-group type: P4/mmm, No. 123.

abc: 3.9154 3.9154 5.4104
angles: 90.00 90.00 90.00
Sites, in units of the cell vectors:
Ca (0.0000, 0.0000, 0.0000)
Ta (0.5000, 0.5000, 0.5000)
As (0.0000, 0.0000, 0.5000)
As (0.5000, 0.5000, 0.0000)

[2]
The following is a PBE calculation of a relaxed structure of GaCo2Mo, from Alexandria via LeMat-Bulk.

Computed properties:
As for the formation enthalpy at 0 K: 1.1 kcal/mol of atoms. The value obtained for the density of states at the Fermi level is 4.1 states/eV/f.u. As for the space-group type: R3m, No. 160.

abc: 8.2663 8.2663 8.2663
angles: 18.94 18.94 18.94
Sites, in units of the cell vectors:
Ga (0.0000, 0.0000, 0.0000)
Co (0.5860, 0.5860, 0.5860)
Co (0.7473, 0.7473, 0.7473)
Mo (0.1665, 0.1665, 0.1665)

[3]
The following is a PBE calculation of a relaxed structure of Ba2CaLa2Hg5, from Alexandria via LeMat-Bulk.

Computed properties:
As for the formation enthalpy at 0 K: -9.1 kcal/mol of atoms. The value obtained for the density of states at the Fermi level is 8.5 states/eV/f.u. As for the space-group type: P4/mbm, No. 127.

abc: 12.5102 12.5102 4.2523
angles: 90.00 90.00 90.00
Sites, in units of the cell vectors:
Ba (0.1706, 0.3294, 0.0000)
Ba (0.3294, 0.8294, 0.0000)
Ba (0.6706, 0.1706, 0.0000)
Ba (0.8294, 0.6706, 0.0000)
Ca (0.0000, 0.0000, 0.0000)
Ca (0.5000, 0.5000, 0.0000)
La (0.1325, 0.6325, 0.0000)
La (0.3675, 0.1325, 0.0000)
La (0.6325, 0.8675, 0.0000)
La (0.8675, 0.3675, 0.0000)
Hg (0.0000, 0.5000, 0.5000)
Hg (0.0768, 0.8224, 0.5000)
Hg (0.1776, 0.0768, 0.5000)
Hg (0.3224, 0.5768, 0.5000)
Hg (0.4232, 0.3224, 0.5000)
Hg (0.5000, 0.0000, 0.5000)
Hg (0.5768, 0.6776, 0.5000)
Hg (0.6776, 0.4232, 0.5000)
Hg (0.8224, 0.9232, 0.5000)
Hg (0.9232, 0.1776, 0.5000)

[4]
The following is a PBE calculation of a relaxed structure of RbCuSe5, from Alexandria via LeMat-Bulk.

Computed properties:
The formation energy (no corrections) is -6.62 kcal/mol of atoms. The value obtained for the density of states at the Fermi level is 0.1 states/eV/f.u. As for the space-group type: P-1, No. 2.

abc: 7.9171 8.5057 8.5845
angles: 63.40 66.52 68.09
Sites, in units of the cell vectors:
Rb (0.1684, 0.1219, 0.1942)
Rb (0.8316, 0.8781, 0.8058)
Cu (0.0000, 0.5000, 0.5000)
Cu (0.5000, 0.5000, 0.5000)
Se (0.0172, 0.5840, 0.1943)
Se (0.1855, 0.6652, 0.5021)
Se (0.1937, 0.8239, 0.9774)
Se (0.4810, 0.2307, 0.4869)
Se (0.4982, 0.6818, 0.8197)
Se (0.5018, 0.3182, 0.1803)
Se (0.5190, 0.7693, 0.5131)
Se (0.8063, 0.1761, 0.0226)
Se (0.8145, 0.3348, 0.4979)
Se (0.9828, 0.4160, 0.8057)

[5]
The following is a PBE calculation of a relaxed structure of Ba3Al3Zn8, from Alexandria via LeMat-Bulk.

Computed properties:
As for the formation enthalpy at 0 K: -3.8 kcal/mol of atoms. The value obtained for the density of states at the Fermi level is 5.7 states/eV/f.u. As for the space-group type: C2/m, No. 12.

abc: 8.9367 8.9367 11.0324
angles: 126.08 126.08 28.31
Sites, in units of the cell vectors:
Ba (0.0000, 0.0000, 0.0000)
Ba (0.2892, 0.2892, 0.3190)
Ba (0.7108, 0.7108, 0.6810)
Al (0.0000, 0.0000, 0.5000)
Al (0.3123, 0.3123, 0.0047)
Al (0.6877, 0.6877, 0.9953)
Zn (0.0918, 0.0918, 0.3775)
Zn (0.1201, 0.1201, 0.8212)
Zn (0.3617, 0.3617, 0.6893)
Zn (0.4819, 0.4819, 0.3022)
Zn (0.5181, 0.5181, 0.6978)
Zn (0.6383, 0.6383, 0.3107)
Zn (0.8799, 0.8799, 0.1788)
Zn (0.9082, 0.9082, 0.6225)

[6]
The following is a PBE calculation of a relaxed structure of HoSc2Zn6, from Alexandria via LeMat-Bulk.

Computed properties:
As for the formation enthalpy at 0 K: -8.2 kcal/mol of atoms. The value obtained for the density of states at the Fermi level is 5.5 states/eV/f.u. As for the space-group type: P6/mmm, No. 191.

abc: 7.6226 7.6226 3.2859
angles: 90.00 90.00 120.00
Sites, in units of the cell vectors:
Ho (0.0000, 0.0000, 0.0000)
Sc (0.3333, 0.6667, 0.0000)
Sc (0.6667, 0.3333, 0.0000)
Zn (0.0000, 0.3374, 0.5000)
Zn (0.0000, 0.6626, 0.5000)
Zn (0.3374, 0.0000, 0.5000)
Zn (0.3374, 0.3374, 0.5000)
Zn (0.6626, 0.0000, 0.5000)
Zn (0.6626, 0.6626, 0.5000)

[7]
The following is a PBE calculation of a relaxed structure of V2ReN, from Alexandria via LeMat-Bulk.

Computed properties:
The formation energy (no corrections) is 1.87 kcal/mol of atoms. The value obtained for the density of states at the Fermi level is 3.7 states/eV/f.u. As for the space-group type: I-42d, No. 122.

abc: 5.2799 5.2799 5.2799
angles: 116.14 116.14 96.82
Sites, in units of the cell vectors:
V (0.0346, 0.6250, 0.9096)
V (0.3750, 0.2846, 0.4096)
V (0.7154, 0.1250, 0.0904)
V (0.8750, 0.9654, 0.5904)
Re (0.2500, 0.7500, 0.5000)
Re (0.5000, 0.5000, 0.0000)
N (0.0000, 0.0000, 0.0000)
N (0.7500, 0.2500, 0.5000)

[8]
The following is a PBE calculation of a relaxed structure of CaScCuP2, from Alexandria via LeMat-Bulk.

Computed properties:
As for the formation enthalpy at 0 K: 11.5 kcal/mol of atoms. The value obtained for the density of states at the Fermi level is 2.8 states/eV/f.u. As for the space-group type: P4/mmm, No. 123.

abc: 4.8176 4.8176 6.1802
angles: 90.00 90.00 90.00
Sites, in units of the cell vectors:
Ca (0.0000, 0.0000, 0.0000)
Sc (0.0000, 0.0000, 0.5000)
Cu (0.5000, 0.5000, 0.0000)
P (0.0000, 0.5000, 0.5000)
P (0.5000, 0.0000, 0.5000)

[9]
The following is a PBE calculation of a relaxed structure of La4NdEr2, from Alexandria via LeMat-Bulk.

Computed properties:
As for the formation enthalpy at 0 K: 1.6 kcal/mol of atoms. The value obtained for the density of states at the Fermi level is 12.3 states/eV/f.u. As for the space-group type: Cc, No. 9.

abc: 12.7609 12.7609 6.9038
angles: 96.90 96.90 150.31
Sites, in units of the cell vectors:
La (0.0190, 0.9810, 0.5000)
La (0.3910, 0.7858, 0.7200)
La (0.3972, 0.8615, 0.2587)
La (0.4470, 0.5504, 0.5404)
La (0.5504, 0.4470, 0.0404)
La (0.7858, 0.3910, 0.2200)
La (0.8615, 0.3972, 0.7587)
La (0.9810, 0.0190, 0.0000)
Nd (0.1568, 0.9078, 0.1263)
Nd (0.9078, 0.1568, 0.6263)
Er (0.2691, 0.9536, 0.6752)
Er (0.4686, 0.6549, 0.0806)
Er (0.6549, 0.4686, 0.5806)
Er (0.9536, 0.2691, 0.1752)

[10]
The following is a PBE calculation of a relaxed structure of NpSn2Pb, from Alexandria via LeMat-Bulk.

Computed properties:
As for the formation enthalpy at 0 K: 1.7 kcal/mol of atoms. The value obtained for the density of states at the Fermi level is 9.2 states/eV/f.u. As for the space-group type: P4/mmm, No. 123.

abc: 5.7673 5.7673 3.3049
angles: 90.00 90.00 90.00
Sites, in units of the cell vectors:
Np (0.0000, 0.0000, 0.0000)
Sn (0.0000, 0.5000, 0.5000)
Sn (0.5000, 0.0000, 0.5000)
Pb (0.5000, 0.5000, 0.0000)